# SmBeF5

SmBeF5 after structural relaxation (PBE, Alexandria).

a = 7.097 Å, b = 7.836 Å, c = 8.592 Å
α = 90.00°, β = 90.00°, γ = 90.00°
Fractional positions:
Sm: 0.750 0.240 0.881
Sm: 0.250 0.740 0.619
Sm: 0.750 0.260 0.381
Sm: 0.250 0.760 0.119
Be: 0.750 0.634 0.119
Be: 0.250 0.134 0.381
Be: 0.750 0.866 0.619
Be: 0.250 0.366 0.881
F: 0.432 0.254 0.884
F: 0.068 0.254 0.884
F: 0.568 0.746 0.116
F: 0.932 0.746 0.116
F: 0.432 0.246 0.384
F: 0.568 0.754 0.616
F: 0.932 0.754 0.616
F: 0.068 0.246 0.384
F: 0.250 0.835 0.867
F: 0.750 0.165 0.133
F: 0.250 0.665 0.367
F: 0.750 0.335 0.633
F: 0.250 0.022 0.229
F: 0.750 0.522 0.271
F: 0.750 0.978 0.771
F: 0.250 0.478 0.729
F: 0.250 0.011 0.525
F: 0.250 0.489 0.025
F: 0.750 0.989 0.475
F: 0.750 0.511 0.975

Computed properties:
The total energy comes out at -6.261 eV/atom. As for the total moment: 0.00 μB/f.u. Its space group is Pnma.

---

# BeSn2F6

BeSn2F6 after structural relaxation (PBE, Alexandria).

a = 5.280 Å, b = 7.211 Å, c = 7.215 Å
α = 90.00°, β = 91.91°, γ = 90.00°
Fractional positions:
Be: 0.500 0.500 0.000
Be: 0.000 0.000 0.500
Sn: 0.975 0.377 0.737
Sn: 0.525 0.877 0.763
Sn: 0.475 0.123 0.237
Sn: 0.025 0.623 0.263
F: 0.942 0.922 0.270
F: 0.831 0.804 0.583
F: 0.788 0.635 0.005
F: 0.712 0.135 0.495
F: 0.669 0.304 0.917
F: 0.558 0.422 0.230
F: 0.058 0.078 0.730
F: 0.169 0.196 0.417
F: 0.212 0.365 0.995
F: 0.288 0.865 0.505
F: 0.331 0.696 0.083
F: 0.442 0.578 0.770

Computed properties:
The total energy comes out at -5.057 eV/atom. As for the total moment: 0.00 μB/f.u. The energy above the most stable polymorph in this dataset comes out at 0.87 eV/f.u. Its space group is P2_1/c.

---

# Be2SnF

Be2SnF after structural relaxation (PBE, Alexandria).

a = 4.434 Å, b = 4.434 Å, c = 6.369 Å
α = 69.63°, β = 69.63°, γ = 90.00°
Fractional positions:
Be: 0.387 0.125 0.250
Be: 0.363 0.625 0.250
Be: 0.375 0.613 0.750
Be: 0.875 0.637 0.750
Sn: 0.000 0.000 0.000
Sn: 0.750 0.250 0.500
F: 0.500 0.500 0.000
F: 0.250 0.750 0.500

Computed properties:
The total energy comes out at -3.782 eV/atom. As for the total moment: 0.00 μB/f.u. The energy above the most stable polymorph in this dataset comes out at 0.00 eV/f.u. Its space group is I-42d.